PmSmHo2: relaxed, PBE.

Cell lengths 5.7044, 5.7044, 5.7044 Å; angles 60.00, 60.00, 60.00 degrees
Last column: nearest neighbours and their distance in Å.
Atoms (fractional coordinates):
Pm  0.0000  0.0000  0.0000  8 Ho 3.49
Sm  0.5000  0.5000  0.5000  8 Ho 3.49
Ho  0.2500  0.2500  0.2500  4 Pm 3.49, 4 Sm 3.49
Ho  0.7500  0.7500  0.7500  4 Sm 3.49, 4 Pm 3.49

Output
Magnetic moment   0.0 μB/f.u.
Calculated formation energy   0.49 eV/f.u.

Mg2SnI6: relaxed, PBE.

Cell lengths 4.2989, 8.6337, 11.2949 Å; angles 110.29, 90.00, 104.42 degrees
Last column: nearest neighbours and their distance in Å.
Atoms (fractional coordinates):
I  0.0400  0.0801  0.7996  2 Mg 2.97, 1 Sn 3.21
I  0.3006  0.6013  0.8875  3 Mg 2.94-2.97
I  0.9600  0.9199  0.2004  2 Mg 2.97, 1 Sn 3.21
I  0.6994  0.3988  0.1125  3 Mg 2.94-2.97
I  0.6510  0.3020  0.5692  1 Mg 2.96, 2 Sn 3.19
I  0.3490  0.6980  0.4308  1 Mg 2.96, 2 Sn 3.19
Mg  0.3299  0.6598  0.1602  6 I 2.94-2.97
Mg  0.6701  0.3402  0.8398  6 I 2.94-2.97
Sn  0.0000  0.0000  0.5000  6 I 3.19-3.21

Output
Magnetic moment   0.0 μB/f.u.
Formation energy (no corrections)   -7.72 eV per formula unit

Mn2TlGeBr8: relaxed, PBE.

Cell lengths 6.8994, 6.8994, 9.5551 Å; angles 90.00, 90.00, 120.00 degrees
Last column: nearest neighbours and their distance in Å.
Atoms (fractional coordinates):
Br  0.3333  0.6667  0.9908  1 Mn 2.40
Br  0.3183  0.0058  0.6723  1 Mn 2.48, 1 Ge 2.73
Br  0.0058  0.6875  0.3277  1 Mn 2.48, 1 Ge 2.73
Br  0.6667  0.3333  0.0092  1 Mn 2.40
Br  0.3125  0.3183  0.3277  1 Mn 2.48, 1 Ge 2.73
Br  0.6875  0.6817  0.6723  1 Mn 2.48, 1 Ge 2.73
Br  0.9942  0.3125  0.6723  1 Mn 2.48, 1 Ge 2.73
Br  0.6817  0.9942  0.3277  1 Mn 2.48, 1 Ge 2.73
Tl  0.0000  0.0000  0.0000  12 Br 3.81-3.98
Ge  0.0000  0.0000  0.5000  6 Br 2.73
Mn  0.6667  0.3333  0.2601  4 Br 2.40-2.48
Mn  0.3333  0.6667  0.7399  4 Br 2.40-2.48

Output
Magnetic moment   9.0 μB/f.u.
Formation energy (no corrections)   -7.82 eV per formula unit

TbDy5Th: relaxed, PBE.

Cell lengths 6.1265, 9.2895, 8.6362 Å; angles 86.09, 78.08, 70.75 degrees
Last column: nearest neighbours and their distance in Å.
Atoms (fractional coordinates):
Dy  0.0152  0.3729  0.3543  8 Dy 3.31-3.65, 1 Tb 3.57, 1 Th 3.63
Dy  0.9848  0.6271  0.6457  8 Dy 3.31-3.65, 1 Tb 3.57, 1 Th 3.63
Dy  0.2275  0.3115  0.9616  6 Dy 3.26-3.65, 1 Tb 3.47, 1 Th 3.57
Dy  0.7725  0.6885  0.0384  6 Dy 3.26-3.65, 1 Tb 3.47, 1 Th 3.57
Dy  0.8524  0.2953  0.7500  6 Dy 3.26-3.46, 2 Th 3.37
Dy  0.6119  0.3729  0.1457  8 Dy 3.31-3.65, 1 Tb 3.57, 1 Th 3.63
Dy  0.3881  0.6271  0.8543  8 Dy 3.31-3.65, 1 Tb 3.57, 1 Th 3.63
Dy  0.4610  0.3115  0.5384  6 Dy 3.26-3.65, 1 Tb 3.47, 1 Th 3.57
Dy  0.5390  0.6885  0.4616  6 Dy 3.26-3.65, 1 Tb 3.47, 1 Th 3.57
Dy  0.1476  0.7047  0.2500  6 Dy 3.26-3.46, 2 Th 3.37
Tb  0.4872  0.0256  0.2500  2 Th 3.37, 6 Dy 3.47-3.71
Tb  0.5128  0.9744  0.7500  2 Th 3.37, 6 Dy 3.47-3.71
Th  0.0000  0.0000  0.5000  2 Tb 3.37, 6 Dy 3.37-3.63
Th  0.0000  0.0000  0.0000  2 Tb 3.37, 6 Dy 3.37-3.63

Output
Magnetic moment   0.0 μB/f.u.
Calculated formation energy   1.38 eV/f.u.

UNbRu4: relaxed, PBE.

Cell lengths 5.2133, 5.2133, 5.2133 Å; angles 60.00, 60.00, 60.00 degrees
Last column: nearest neighbours and their distance in Å.
Atoms (fractional coordinates):
Ru  0.6248  0.6248  0.6248  6 Ru 2.60-2.61
Ru  0.6248  0.1257  0.6248  6 Ru 2.60-2.61
Ru  0.1257  0.6248  0.6248  6 Ru 2.60-2.61
Ru  0.6248  0.6248  0.1257  6 Ru 2.60-2.61
U  0.0000  0.0000  0.0000  12 Ru 3.06, 4 Nb 3.19
Nb  0.2500  0.2500  0.2500  12 Ru 3.06, 4 U 3.19

Output
Magnetic moment   1.8 μB/f.u.
Calculated formation energy   0.02 eV/f.u.

Ba3Cd2Pt4Pb2: relaxed, PBE.

Cell lengths 4.7972, 4.7972, 16.2451 Å; angles 90.00, 90.00, 120.00 degrees
Last column: nearest neighbours and their distance in Å.
Atoms (fractional coordinates):
Pt  0.6667  0.3333  0.6029  4 Pb 2.81-2.82
Pt  0.3333  0.6667  0.8659  3 Cd 2.77
Pt  0.3333  0.6667  0.3971  4 Pb 2.81-2.82
Pt  0.6667  0.3333  0.1341  3 Cd 2.77
Cd  0.6667  0.3333  0.8629  3 Pt 2.77
Cd  0.3333  0.6667  0.1371  3 Pt 2.77
Pb  0.3333  0.6667  0.5702  4 Pt 2.81-2.82
Pb  0.6667  0.3333  0.4298  4 Pt 2.81-2.82
Ba  0.0000  0.0000  0.2738  6 Pt 3.42-3.58, 3 Cd 3.55, 3 Pb 3.75
Ba  0.0000  0.0000  0.7262  6 Pt 3.42-3.58, 3 Cd 3.55, 3 Pb 3.75
Ba  0.0000  0.0000  0.0000  6 Pt 3.52, 6 Cd 3.55

Output
Magnetic moment   0.0 μB/f.u.
Calculated formation energy   -5.69 eV/f.u.

NaCuBi: relaxed, PBE.

Cell lengths 4.4341, 4.4341, 7.4024 Å; angles 90.00, 90.00, 90.00 degrees
Last column: nearest neighbours and their distance in Å.
Atoms (fractional coordinates):
Bi  0.5000  0.0000  0.7205  4 Cu 2.75
Bi  0.0000  0.5000  0.2795  4 Cu 2.75
Na  0.5000  0.0000  0.1729  5 Bi 3.23-3.35, 4 Cu 3.28
Na  0.0000  0.5000  0.8271  5 Bi 3.23-3.35, 4 Cu 3.28
Cu  0.0000  0.0000  0.5000  4 Bi 2.75
Cu  0.5000  0.5000  0.5000  4 Bi 2.75

Output
Magnetic moment   0.0 μB/f.u.
Calculated formation energy   -0.23 eV/f.u.

NpCdGa: relaxed, PBE.

Cell lengths 4.5789, 4.5789, 7.9489 Å; angles 73.26, 73.26, 60.00 degrees
Last column: nearest neighbours and their distance in Å.
Atoms (fractional coordinates):
Ga  0.4256  0.4256  0.7233  4 Cd 2.89-2.93, 3 Np 3.00
Ga  0.5744  0.5744  0.2767  4 Cd 2.89-2.93, 3 Np 3.00
Np  0.1553  0.1553  0.5341  3 Np 2.69, 3 Ga 3.00
Np  0.8447  0.8447  0.4659  3 Np 2.69, 3 Ga 3.00
Cd  0.2972  0.2972  0.1083  4 Ga 2.89-2.93, 3 Cd 3.10, 1 Np 3.19
Cd  0.7028  0.7028  0.8917  4 Ga 2.89-2.93, 3 Cd 3.10, 1 Np 3.19

Output
Magnetic moment   3.9 μB/f.u.
Calculated formation energy   0.36 eV/f.u.

CuMoP2Cl: relaxed, PBE.

Cell lengths 4.3693, 4.3693, 4.9654 Å; angles 90.00, 90.00, 90.00 degrees
Last column: nearest neighbours and their distance in Å.
Atoms (fractional coordinates):
Cl  0.0000  0.0000  0.5000  2 Cu 2.48
Cu  0.0000  0.0000  0.0000  4 P 2.18
P  0.5000  0.0000  0.0000  2 Cu 2.18
P  0.0000  0.5000  0.0000  2 Cu 2.18
Mo  0.5000  0.5000  0.5000  4 Cl 3.09, 8 P 3.31

Output
Magnetic moment   2.8 μB/f.u.
Formation energy (no corrections)   4.90 eV per formula unit

NaNiRhCl6: relaxed, PBE.

Cell lengths 6.1905, 6.1905, 12.4291 Å; angles 90.00, 90.00, 120.00 degrees
Last column: nearest neighbours and their distance in Å.
Atoms (fractional coordinates):
Cl  0.3657  0.0048  0.6429  1 Rh 2.36, 1 Ni 2.40
Cl  0.6391  0.0048  0.8571  1 Rh 2.36, 1 Ni 2.40
Cl  0.9952  0.6343  0.8571  1 Rh 2.36, 1 Ni 2.40
Cl  0.3657  0.3609  0.8571  1 Rh 2.36, 1 Ni 2.40
Cl  0.9952  0.3609  0.6429  1 Rh 2.36, 1 Ni 2.40
Cl  0.0048  0.3657  0.1429  1 Rh 2.36, 1 Ni 2.40
Cl  0.6391  0.6343  0.6429  1 Rh 2.36, 1 Ni 2.40
Cl  0.0048  0.6391  0.3571  1 Rh 2.36, 1 Ni 2.40
Cl  0.3609  0.9952  0.1429  1 Rh 2.36, 1 Ni 2.40
Cl  0.6343  0.9952  0.3571  1 Rh 2.36, 1 Ni 2.40
Cl  0.3609  0.3657  0.3571  1 Rh 2.36, 1 Ni 2.40
Cl  0.6343  0.6391  0.1429  1 Rh 2.36, 1 Ni 2.40
Na  0.0000  0.0000  0.5000  6 Cl 2.87
Na  0.0000  0.0000  0.0000  6 Cl 2.87
Rh  0.6667  0.3333  0.7500  6 Cl 2.36
Rh  0.3333  0.6667  0.2500  6 Cl 2.36
Ni  0.6667  0.3333  0.2500  6 Cl 2.40
Ni  0.3333  0.6667  0.7500  6 Cl 2.40

Output
Magnetic moment   2.0 μB/f.u.
Formation energy (no corrections)   -7.68 eV per formula unit

KRbCe2I8: relaxed, PBE.

Cell lengths 8.5431, 8.5431, 9.3499 Å; angles 90.00, 90.00, 120.00 degrees
Last column: nearest neighbours and their distance in Å.
Atoms (fractional coordinates):
I  0.6667  0.3333  0.4141  1 Ce 3.05
I  0.3232  0.9390  0.1617  2 Ce 3.25-3.33, 1 K 3.41
I  0.3333  0.6667  0.5859  1 Ce 3.05
I  0.3842  0.3232  0.8383  2 Ce 3.25-3.33, 1 K 3.41
I  0.0610  0.3842  0.1617  2 Ce 3.25-3.33, 1 K 3.41
I  0.6768  0.0610  0.8383  2 Ce 3.25-3.33, 1 K 3.41
I  0.9390  0.6158  0.8383  2 Ce 3.25-3.33, 1 K 3.41
I  0.6158  0.6768  0.1617  2 Ce 3.25-3.33, 1 K 3.41
Ce  0.3333  0.6667  0.9120  7 I 3.05-3.33
Ce  0.6667  0.3333  0.0880  7 I 3.05-3.33
K  0.0000  0.0000  0.0000  6 I 3.41
Rb  0.0000  0.0000  0.5000  6 I 4.40, 2 K 4.67

Output
Magnetic moment   2.0 μB/f.u.
Formation energy (no corrections)   -15.88 eV per formula unit

V2OsPb: relaxed, PBE.

Cell lengths 7.2663, 7.2663, 5.8504 Å; angles 51.61, 51.61, 90.00 degrees
Last column: nearest neighbours and their distance in Å.
Atoms (fractional coordinates):
V  0.5667  0.1250  0.2500  2 Os 2.39
V  0.1833  0.6250  0.2500  2 Os 2.39
V  0.3750  0.4333  0.7500  2 Os 2.39
V  0.8750  0.8167  0.7500  2 Os 2.39
Os  0.5000  0.5000  0.0000  4 V 2.39
Os  0.2500  0.7500  0.5000  4 V 2.39
Pb  0.0000  0.0000  0.0000  2 Os 2.80, 8 V 2.97-3.11
Pb  0.7500  0.2500  0.5000  2 Os 2.80, 8 V 2.97-3.11

Output
Magnetic moment   0.0 μB/f.u.
Calculated formation energy   2.71 eV/f.u.

What is the magnetic moment in the sixth record?
0.0 μB/f.u.

What is the magnetic moment in the first record?
0.0 μB/f.u.

Which formula does entry 5 have?
UNbRu4

The highest magnetic moment belongs to which entry?
Mn2TlGeBr8